First-principles (GGA-PBE) data for crystalline CuSb2As at its relaxed geometry, as listed in the Alexandria database.

Structure (CIF):
```
data_CuSb2As
_symmetry_space_group_name_H-M 'C 1 m 1'
_symmetry_Int_Tables_number 8
_cell_length_a 6.950
_cell_length_b 3.963
_cell_length_c 6.892
_cell_angle_alpha 90.00
_cell_angle_beta 109.70
_cell_angle_gamma 90.00
loop_
_symmetry_equiv_pos_as_xyz
'x,y,z'
'x,-y,z'
'x+1/2,y+1/2,z'
'x+1/2,-y+1/2,z'
loop_
_atom_site_label
_atom_site_type_symbol
_atom_site_fract_x
_atom_site_fract_y
_atom_site_fract_z
Cu1 Cu 0.000 0.000 0.000
Sb1 Sb 0.015 0.500 0.542
Sb2 Sb 0.240 0.500 0.222
As1 As 0.274 0.000 0.813
```

Values from the calculation:
As for the density of states at the Fermi level: 1.94 states/eV/f.u. Its crystal system is monoclinic. The value obtained for the raw formation energy is 0.112 eV/atom. The total energy comes out at -33.1 eV for the cell shown.

---

First-principles (GGA-PBE) data for crystalline CuSb2As at its relaxed geometry, as listed in the Alexandria database.

Structure (CIF):
```
data_CuSb2As
_symmetry_space_group_name_H-M 'R 3 m'
_symmetry_Int_Tables_number 160
_symmetry_space_group_name_Hall 'R 3 -2"'
_cell_length_a 3.5167
_cell_length_b 3.5167
_cell_length_c 26.3543
_cell_angle_alpha 90.00
_cell_angle_beta 90.00
_cell_angle_gamma 120.00
loop_
_atom_site_label
_atom_site_type_symbol
_atom_site_fract_x
_atom_site_fract_y
_atom_site_fract_z
Cu1 Cu 0.0000 0.0000 0.0000
Sb1 Sb 0.0000 0.0000 0.2669
Sb2 Sb 0.0000 0.0000 0.4674
As1 As 0.0000 0.0000 0.7244
```

Values from the calculation:
As for the density of states at the Fermi level: 1.15 states/eV/f.u. Its crystal system is trigonal. The value obtained for the raw formation energy is 0.186 eV/atom. The total energy comes out at -48.7 eV for the cell shown.

---

First-principles (GGA-PBE) data for crystalline CuSbAs at its relaxed geometry, as listed in the Alexandria database.

Structure (CIF):
```
data_CuSbAs
_symmetry_space_group_name_H-M 'I 4/m m m'
_symmetry_Int_Tables_number 139
_symmetry_space_group_name_Hall '-I 4 2'
_cell_length_a 4.170
_cell_length_b 4.170
_cell_length_c 14.261
_cell_angle_alpha 90.00
_cell_angle_beta 90.00
_cell_angle_gamma 90.00
loop_
_atom_site_label
_atom_site_type_symbol
_atom_site_fract_x
_atom_site_fract_y
_atom_site_fract_z
Cu1 Cu 0.000 0.500 0.000
Sb1 Sb 0.000 0.000 0.145
As1 As 0.000 0.000 0.376
```

Values from the calculation:
As for the density of states at the Fermi level: 0.82 states/eV/f.u. Its crystal system is tetragonal. The energy above the most stable polymorph in this dataset is 0.28 eV per formula unit. The value obtained for the raw formation energy is 0.202 eV/atom. The total energy comes out at -49.0 eV for the cell shown.

---

First-principles (GGA-PBE) data for crystalline CuSbAs2 at its relaxed geometry, as listed in the Alexandria database.

Structure (CIF):
```
data_CuSbAs2
_symmetry_space_group_name_H-M 'C 1 m 1'
_symmetry_Int_Tables_number 8
_cell_length_a 6.699
_cell_length_b 3.826
_cell_length_c 6.679
_cell_angle_alpha 90.00
_cell_angle_beta 109.44
_cell_angle_gamma 90.00
loop_
_symmetry_equiv_pos_as_xyz
'x,y,z'
'x,-y,z'
'x+1/2,y+1/2,z'
'x+1/2,-y+1/2,z'
loop_
_atom_site_label
_atom_site_type_symbol
_atom_site_fract_x
_atom_site_fract_y
_atom_site_fract_z
Cu1 Cu 0.000 0.000 0.000
Sb1 Sb 0.251 0.000 0.751
As1 As 0.232 0.500 0.199
As2 As 0.486 0.000 0.458
```

Values from the calculation:
As for the density of states at the Fermi level: 2.03 states/eV/f.u. Its crystal system is monoclinic. The value obtained for the raw formation energy is 0.129 eV/atom. The total energy comes out at -34.0 eV for the cell shown.

---

First-principles (GGA-PBE) data for crystalline CuSbAs2 at its relaxed geometry, as listed in the Alexandria database.

Structure (CIF):
```
data_CuSbAs2
_symmetry_space_group_name_H-M 'I m m m'
_symmetry_Int_Tables_number 71
_symmetry_space_group_name_Hall '-I 2 2'
_cell_length_a 3.844
_cell_length_b 5.159
_cell_length_c 9.415
_cell_angle_alpha 90.00
_cell_angle_beta 90.00
_cell_angle_gamma 90.00
loop_
_atom_site_label
_atom_site_type_symbol
_atom_site_fract_x
_atom_site_fract_y
_atom_site_fract_z
Cu1 Cu 0.000 0.000 0.000
Sb1 Sb 0.000 0.000 0.500
As1 As 0.000 0.500 0.351
```

Values from the calculation:
As for the density of states at the Fermi level: 1.76 states/eV/f.u. Its crystal system is orthorhombic. The value obtained for the raw formation energy is 0.270 eV/atom. The total energy comes out at -32.9 eV for the cell shown.

---

First-principles (GGA-PBE) data for crystalline CuSb2As at its relaxed geometry, as listed in the Alexandria database.

Structure (CIF):
```
data_CuSb2As
_symmetry_space_group_name_H-M 'P 1 m 1'
_symmetry_Int_Tables_number 6
_cell_length_a 4.932
_cell_length_b 3.901
_cell_length_c 4.962
_cell_angle_alpha 90.00
_cell_angle_beta 111.39
_cell_angle_gamma 90.00
loop_
_symmetry_equiv_pos_as_xyz
'x,y,z'
'x,-y,z'
loop_
_atom_site_label
_atom_site_type_symbol
_atom_site_fract_x
_atom_site_fract_y
_atom_site_fract_z
Cu1 Cu 0.000 0.000 0.000
Sb1 Sb 0.229 0.500 0.779
Sb2 Sb 0.530 0.000 0.469
As1 As 0.800 0.500 0.196
```

Values from the calculation:
As for the density of states at the Fermi level: 1.96 states/eV/f.u. Its crystal system is monoclinic. The value obtained for the raw formation energy is 0.117 eV/atom. The total energy comes out at -16.5 eV for the cell shown.

---

First-principles (GGA-PBE) data for crystalline CuSbAs2 at its relaxed geometry, as listed in the Alexandria database.

Structure (CIF):
```
data_CuSbAs2
_symmetry_space_group_name_H-M 'P 1 m 1'
_symmetry_Int_Tables_number 6
_cell_length_a 3.649
_cell_length_b 3.662
_cell_length_c 6.725
_cell_angle_alpha 90.00
_cell_angle_beta 104.89
_cell_angle_gamma 90.00
loop_
_symmetry_equiv_pos_as_xyz
'x,y,z'
'x,-y,z'
loop_
_atom_site_label
_atom_site_type_symbol
_atom_site_fract_x
_atom_site_fract_y
_atom_site_fract_z
Cu1 Cu 0.000 0.000 0.000
Sb1 Sb 0.576 0.500 0.160
As1 As 0.351 0.500 0.730
As2 As 0.819 0.000 0.614
```

Values from the calculation:
As for the density of states at the Fermi level: 1.80 states/eV/f.u. Its crystal system is monoclinic. The value obtained for the raw formation energy is 0.209 eV/atom. The total energy comes out at -16.7 eV for the cell shown.

---

First-principles (GGA-PBE) data for crystalline CuSbAs4 at its relaxed geometry, as listed in the Alexandria database.

Structure (CIF):
```
data_CuSbAs4
_symmetry_space_group_name_H-M 'F -4 3 m'
_symmetry_Int_Tables_number 216
_symmetry_space_group_name_Hall 'F -4 2 3'
_cell_length_a 7.916
_cell_length_b 7.916
_cell_length_c 7.916
_cell_angle_alpha 90.00
_cell_angle_beta 90.00
_cell_angle_gamma 90.00
loop_
_atom_site_label
_atom_site_type_symbol
_atom_site_fract_x
_atom_site_fract_y
_atom_site_fract_z
Cu1 Cu 0.000 0.000 0.000
Sb1 Sb 0.250 0.250 0.750
As1 As 0.127 0.127 0.373
```

Values from the calculation:
As for the density of states at the Fermi level: 3.84 states/eV/f.u. Its crystal system is cubic. The value obtained for the raw formation energy is 0.577 eV/atom. The total energy comes out at -93.4 eV for the cell shown.